A plane-wave DFT calculation with GGA-PBE was carried out for a relaxed structure of GeHF3.

Structure (POSCAR):
```
GeHF3
1.0
4.021 0.000 0.000
0.000 4.021 0.000
0.000 0.000 4.021
Ge H F
1 1 3
direct
0.000 0.000 0.000 Ge
0.500 0.500 0.500 H
0.000 0.000 0.500 F
0.000 0.500 0.000 F
0.500 0.000 0.000 F
```

The energy above the lowest structure with this stoichiometry is 440 meV per atom. Its space group is Pm-3m (221). The total energy comes out at -3.951 eV/atom. The density is 3.34 g/cm3.